The following is a DFT calculation (meta-GGA SCAN) of a PBEsol-optimized structure of LiSb3Cl.

Computed properties:
E_form (uncorrected) ... 0.63 eV per atom
SG ... Pm-3m (221)

a b c (Å): 5.319 5.319 5.319
angles (deg): 90.00 90.00 90.00
Sites, in units of the cell vectors:
1 Sb 0.000 0.000 0.500
2 Sb 0.500 0.000 0.000
3 Sb 0.000 0.500 0.000
4 Li 0.500 0.500 0.500
5 Cl 0.000 0.000 0.000

***

The following is a DFT calculation (meta-GGA SCAN) of a PBEsol-optimized structure of Li2SbCl.

Computed properties:
E_form (uncorrected) ... -1.17 eV per atom
SG ... P-6m2 (187)

a b c (Å): 3.361 3.361 7.544
angles (deg): 90.00 90.00 120.00
Sites, in units of the cell vectors:
1 Sb 0.543 0.085 0.500
2 Li 0.876 0.752 0.802
3 Li 0.876 0.752 0.198
4 Cl 0.210 0.419 0.000

***

The following is a DFT calculation (meta-GGA SCAN) of a PBEsol-optimized structure of LiScCl2.

Computed properties:
E_form (uncorrected) ... -0.58 eV per atom
SG ... F-43m (216)

a b c (Å): 4.816 4.816 4.816
angles (deg): 60.00 60.00 60.00
Each line ends with the local moment (μB).
Sites, in units of the cell vectors:
1 Cl 0.750 0.750 0.750  0.05
2 Cl 0.000 0.000 0.000  -0.01
3 Sc 0.250 0.250 0.250  1.09
4 Li 0.500 0.500 0.500  0.07